Tb2PdPb: optimized geometry, GGA-PBE.

Magnetic moment in μB per cell: 0.0
VASP energy in eV for the cell shown: -60.9
DFT formation energy in eV per atom: -0.535

Cell and atoms, written as CIF:
```
data_Tb2PdPb
_chemical_formula_sum 'Tb6 Pd3 Pb3'
_cell_length_a 3.9181
_cell_length_b 3.9181
_cell_length_c 25.1516
_cell_angle_alpha 90.00
_cell_angle_beta 90.00
_cell_angle_gamma 120.00
_symmetry_space_group_name_H-M 'R -3 m'
_symmetry_Int_Tables_number 166
_symmetry_space_group_name_Hall '-R 3 2"'
loop_
_atom_site_label
_atom_site_fract_x
_atom_site_fract_y
_atom_site_fract_z
Tb1 0.0000 0.0000 0.2353
Pd1 0.0000 0.0000 0.5000
Pb1 0.0000 0.0000 0.0000
```